Compound: MnZn6O6
Source: Alexandria via LeMat-Bulk
Functional: PBE+U
Structure: relaxed

CIF file:
```
data_MnZn6O6
_chemical_formula_sum 'Mn1 Zn6 O6'
_cell_length_a 5.740
_cell_length_b 5.740
_cell_length_c 5.740
_cell_angle_alpha 90.00
_cell_angle_beta 90.00
_cell_angle_gamma 90.00
_symmetry_space_group_name_H-M 'P 1'
_symmetry_Int_Tables_number 1
_symmetry_space_group_name_Hall 'P 1'
loop_
_atom_site_label
_atom_site_type_symbol
_atom_site_fract_x
_atom_site_fract_y
_atom_site_fract_z
Mn1 Mn 0.000 0.000 0.000
Zn1 Zn 0.000 0.251 0.500
Zn2 Zn 0.000 0.749 0.500
Zn3 Zn 0.251 0.500 0.000
Zn4 Zn 0.500 0.000 0.251
Zn5 Zn 0.500 0.000 0.749
Zn6 Zn 0.749 0.500 0.000
O1 O 0.000 0.500 0.251
O2 O 0.000 0.500 0.749
O3 O 0.251 0.000 0.500
O4 O 0.500 0.251 0.000
O5 O 0.500 0.749 0.000
O6 O 0.749 0.000 0.500
```

Output
Density of states at the Fermi level: 0.717 states/eV/f.u.
Total DFT energy (no corrections): -4.519 eV/atom
Calculated density: 4.77 g cm⁻³